Entry 1:
This record from the Alexandria database describes a relaxed structure of OsPb2Cl. The functional is PBE.

- Energy relative to the lowest polymorph listed for this composition: 0.449 eV per atom
- DOS at the Fermi energy: 1.24 states/eV/atom
- Calculated total energy: -70.08 eV per cell
- Formation energy from raw total energies: 0.7434 eV/atom

Unit cell a=7.1953 b=7.1953 c=7.1953 alpha=90.00 beta=90.00 gamma=90.00
Last column: nearest neighbours and their distance in Å.
Space group Fm-3m (No. 225)
Symmetry-distinct sites (fractional):
Os 0.0000 0.0000 0.0000 [4 per cell]  8 Pb 3.12
Pb 0.2500 0.2500 0.2500 [8 per cell]  4 Cl 3.12, 4 Os 3.12
Cl 0.0000 0.0000 0.5000 [4 per cell]  8 Pb 3.12

***

Entry 2:
This record from the Alexandria database describes a relaxed structure of Os2PbCl. The functional is PBE.

- Energy relative to the lowest polymorph listed for this composition: 1.020 eV per atom
- DOS at the Fermi energy: 1.09 states/eV/atom
- Calculated total energy: -45.55 eV per cell
- Formation energy from raw total energies: 1.3101 eV/atom

Unit cell a=5.0665 b=5.0665 c=5.5800 alpha=90.00 beta=90.00 gamma=90.00
Last column: nearest neighbours and their distance in Å.
Space group I-4m2 (No. 119)
Symmetry-distinct sites (fractional):
Os 0.0000 0.0000 0.0000 [2 per cell]  2 Pb 2.79, 4 Cl 2.89, 4 Os 2.89
Os 0.0000 0.5000 0.2500 [2 per cell]  2 Cl 2.79, 4 Pb 2.89, 4 Os 2.89
Pb 0.0000 0.0000 0.5000 [2 per cell]  6 Os 2.79-2.89, 4 Cl 2.89
Cl 0.0000 0.5000 0.7500 [2 per cell]  6 Os 2.79-2.89, 4 Pb 2.89

***

Entry 3:
This record from the Alexandria database describes a relaxed structure of OsPb2Cl. The functional is PBE.

- Energy relative to the lowest polymorph listed for this composition: 0.033 eV per atom
- DOS at the Fermi energy: 0.47 states/eV/atom
- Calculated total energy: -38.37 eV per cell
- Formation energy from raw total energies: 0.3268 eV/atom

Unit cell a=14.4676 b=3.2542 c=4.4570 alpha=90.00 beta=90.19 gamma=90.00
Last column: nearest neighbours and their distance in Å.
Space group Cm (No. 8)
Symmetry-distinct sites (fractional):
Os 0.0000 0.0000 0.0000 [2 per cell]  6 Pb 2.79-2.92
Pb 0.1676 0.5000 0.0014 [2 per cell]  2 Os 2.92, 4 Cl 3.12-3.13, 2 Pb 3.25
Pb 0.4703 0.0000 0.4996 [2 per cell]  4 Os 2.79, 1 Cl 2.91
Cl 0.2689 0.0000 0.5020 [2 per cell]  5 Pb 2.91-3.13, 2 Cl 3.25

***

Entry 4:
This record from the Alexandria database describes a relaxed structure of Os2PbCl. The functional is PBE.

- Energy relative to the lowest polymorph listed for this composition: 0.835 eV per atom
- DOS at the Fermi energy: 0.98 states/eV/atom
- Calculated total energy: -94.05 eV per cell
- Formation energy from raw total energies: 1.1256 eV/atom

Unit cell a=4.6186 b=4.6186 c=15.5943 alpha=90.00 beta=90.00 gamma=90.00
Last column: nearest neighbours and their distance in Å.
Space group I-42d (No. 122)
Symmetry-distinct sites (fractional):
Os 0.1241 0.2500 0.1250 [8 per cell]  2 Cl 2.34, 2 Os 2.58
Pb 0.0000 0.0000 0.5000 [4 per cell]  4 Os 2.85
Cl 0.0000 0.0000 0.0000 [4 per cell]  4 Os 2.34

***

Entry 5:
This record from the Alexandria database describes a relaxed structure of Os2Pb2Cl. The functional is PBE.

- Energy relative to the lowest polymorph listed for this composition: 0.000 eV per atom
- DOS at the Fermi energy: 0.91 states/eV/atom
- Calculated total energy: -56.62 eV per cell
- Formation energy from raw total energies: 0.6829 eV/atom

Unit cell a=5.4467 b=5.4467 c=7.8435 alpha=90.00 beta=90.00 gamma=90.00
Last column: nearest neighbours and their distance in Å.
Space group I4/mmm (No. 139)
Symmetry-distinct sites (fractional):
Os 0.0000 0.0000 0.1440 [4 per cell]  1 Os 2.26
Pb 0.0000 0.5000 0.2500 [4 per cell]  4 Os 2.85
Cl 0.0000 0.0000 0.5000 [2 per cell]  2 Os 2.79

***

Entry 6:
This record from the Alexandria database describes a relaxed structure of OsPb2Cl. The functional is PBE.

- Energy relative to the lowest polymorph listed for this composition: 0.004 eV per atom
- DOS at the Fermi energy: 0.88 states/eV/atom
- Calculated total energy: -19.30 eV per cell
- Formation energy from raw total energies: 0.2978 eV/atom

Unit cell a=3.3779 b=3.3779 c=7.9976 alpha=90.00 beta=90.00 gamma=90.00
Last column: nearest neighbours and their distance in Å.
Space group P4/mmm (No. 123)
Symmetry-distinct sites (fractional):
Os 0.0000 0.0000 0.0000 [1 per cell]  8 Pb 2.95
Pb 0.5000 0.5000 0.2173 [2 per cell]  4 Os 2.95, 4 Cl 3.29
Cl 0.0000 0.0000 0.5000 [1 per cell]  8 Pb 3.29, 4 Cl 3.38

***

Entry 7:
This record from the Alexandria database describes a relaxed structure of Os2PbCl. The functional is PBE.

- Energy relative to the lowest polymorph listed for this composition: 1.198 eV per atom
- DOS at the Fermi energy: 0.92 states/eV/atom
- Calculated total energy: -22.06 eV per cell
- Formation energy from raw total energies: 1.4887 eV/atom

Unit cell a=3.2194 b=3.2194 c=6.5429 alpha=90.00 beta=90.00 gamma=90.00
Last column: nearest neighbours and their distance in Å.
Space group P4/mmm (No. 123)
Symmetry-distinct sites (fractional):
Os 0.0000 0.0000 0.2204 [2 per cell]  4 Cl 2.69, 1 Os 2.88, 4 Pb 2.92
Pb 0.5000 0.5000 0.5000 [1 per cell]  8 Os 2.92, 4 Pb 3.22
Cl 0.5000 0.5000 0.0000 [1 per cell]  8 Os 2.69

***

Entry 8:
This record from the Alexandria database describes a relaxed structure of OsPb2Cl. The functional is PBE.

- Energy relative to the lowest polymorph listed for this composition: 0.063 eV per atom
- DOS at the Fermi energy: 0.45 states/eV/atom
- Calculated total energy: -38.13 eV per cell
- Formation energy from raw total energies: 0.3566 eV/atom

Unit cell a=3.2624 b=4.3958 c=15.3298 alpha=90.00 beta=90.00 gamma=90.00
Last column: nearest neighbours and their distance in Å.
Space group Imm2 (No. 44)
Symmetry-distinct sites (fractional):
Os 0.0000 0.0000 0.0000 [2 per cell]  6 Pb 2.76-3.00
Pb 0.0000 0.0000 0.4769 [2 per cell]  4 Os 2.76
Pb 0.0000 0.5000 0.6646 [2 per cell]  2 Os 3.00, 4 Cl 3.03, 2 Pb 3.26
Cl 0.0000 0.5000 0.2498 [2 per cell]  4 Pb 3.03, 2 Cl 3.26

***

Entry 9:
This record from the Alexandria database describes a relaxed structure of OsPb3Cl. The functional is PBE.

- Energy relative to the lowest polymorph listed for this composition: 1.185 eV per atom
- DOS at the Fermi energy: 0.81 states/eV/atom
- Calculated total energy: -17.67 eV per cell
- Formation energy from raw total energies: 1.3055 eV/atom

Unit cell a=5.3902 b=5.3902 c=5.3902 alpha=90.00 beta=90.00 gamma=90.00
Last column: nearest neighbours and their distance in Å.
Space group Pm-3m (No. 221)
Symmetry-distinct sites (fractional):
Os 0.0000 0.0000 0.0000 [1 per cell]  12 Pb 3.81
Pb 0.0000 0.5000 0.5000 [3 per cell]  2 Cl 2.70
Cl 0.5000 0.5000 0.5000 [1 per cell]  6 Pb 2.70

***

Entry 10:
This record from the Alexandria database describes a relaxed structure of Os2PbCl. The functional is PBE.

- Energy relative to the lowest polymorph listed for this composition: 0.203 eV per atom
- DOS at the Fermi energy: 0.88 states/eV/atom
- Calculated total energy: -52.08 eV per cell
- Formation energy from raw total energies: 0.4939 eV/atom

Unit cell a=7.8775 b=2.9486 c=8.2384 alpha=90.00 beta=105.18 gamma=90.00
Last column: nearest neighbours and their distance in Å.
Space group Cm (No. 8)
Symmetry-distinct sites (fractional):
Os 0.0000 0.0000 0.0000 [2 per cell]  3 Os 2.40-2.54, 2 Cl 2.48
Os 0.2377 0.0000 0.8684 [2 per cell]  3 Os 2.40-2.54
Pb 0.4517 0.0000 0.6219 [2 per cell]  2 Pb 2.95, 3 Os 2.96-3.00
Cl 0.0971 0.5000 0.2487 [2 per cell]  2 Os 2.48

***

Entry 11:
This record from the Alexandria database describes a relaxed structure of OsPb2Cl. The functional is PBE.

- Energy relative to the lowest polymorph listed for this composition: 0.067 eV per atom
- DOS at the Fermi energy: 1.16 states/eV/atom
- Calculated total energy: -57.15 eV per cell
- Formation energy from raw total energies: 0.3607 eV/atom

Unit cell a=3.5277 b=3.5277 c=26.2943 alpha=90.00 beta=90.00 gamma=120.00
Last column: nearest neighbours and their distance in Å.
Space group R-3m (No. 166, hexagonal axes)
Symmetry-distinct sites (fractional):
Os 0.0000 0.0000 0.0000 [3 per cell]  6 Pb 2.85
Pb 0.0000 0.0000 0.2575 [6 per cell]  3 Os 2.85, 3 Cl 3.14
Cl 0.0000 0.0000 0.5000 [3 per cell]  6 Pb 3.14

***

Entry 12:
This record from the Alexandria database describes a relaxed structure of OsPb2Cl. The functional is PBE.

- Energy relative to the lowest polymorph listed for this composition: 0.281 eV per atom
- DOS at the Fermi energy: 0.89 states/eV/atom
- Calculated total energy: -54.58 eV per cell
- Formation energy from raw total energies: 0.5748 eV/atom

Unit cell a=3.3302 b=3.3302 c=29.3299 alpha=90.00 beta=90.00 gamma=120.00
Last column: nearest neighbours and their distance in Å.
Space group R3m (No. 160, hexagonal axes)
Symmetry-distinct sites (fractional):
Os 0.0000 0.0000 0.0000 [3 per cell]  3 Cl 2.65, 3 Pb 2.82
Pb 0.0000 0.0000 0.5103 [3 per cell]  9 Pb 3.33-3.67, 3 Cl 3.37
Pb 0.0000 0.0000 0.7370 [3 per cell]  3 Os 2.82
Cl 0.0000 0.0000 0.2713 [3 per cell]  3 Os 2.65

***

Question: What is the formula in the first record?
Answer: OsPb2Cl